# 1
Density functional theory data (PBE-GGA) for an optimized crystal structure of SiI3.

Results
DOS at the Fermi energy, states/eV per cell: 0.00
Final energy, eV per atom: -2.87
Space group: R-3

Cell lengths 9.232, 9.232, 9.232 Å; angles 48.92, 48.92, 48.92 degrees
Fractional coordinates of all 8 atoms:
Si  0.049  0.049  0.049
Si  0.951  0.951  0.951
I  0.090  0.771  0.381
I  0.229  0.619  0.910
I  0.381  0.090  0.771
I  0.619  0.910  0.229
I  0.771  0.381  0.090
I  0.910  0.229  0.619

=====

# 2
Density functional theory data (PBE-GGA) for an optimized crystal structure of SiI.

Results
DOS at the Fermi energy, states/eV per cell: 2.84
Final energy, eV per atom: -2.56
Space group: P4_2/mnm

Cell lengths 7.858, 7.858, 6.684 Å; angles 90.00, 90.00, 90.00 degrees
Fractional coordinates of all 8 atoms:
Si  0.170  0.170  0.000
Si  0.330  0.670  0.500
Si  0.670  0.330  0.500
Si  0.830  0.830  0.000
I  0.168  0.832  0.000
I  0.332  0.332  0.500
I  0.668  0.668  0.500
I  0.832  0.168  0.000

=====

# 3
Density functional theory data (PBE-GGA) for an optimized crystal structure of SiI3.

Results
DOS at the Fermi energy, states/eV per cell: 0.00
Final energy, eV per atom: -2.87
Space group: Pnma

Cell lengths 14.840, 12.993, 8.601 Å; angles 90.00, 90.00, 90.00 degrees
Fractional coordinates of all 32 atoms:
Si  0.112  0.250  0.216
Si  0.149  0.250  0.949
Si  0.351  0.750  0.449
Si  0.388  0.750  0.716
Si  0.612  0.250  0.284
Si  0.649  0.250  0.551
Si  0.851  0.750  0.051
Si  0.888  0.750  0.784
I  0.008  0.250  0.798
I  0.023  0.094  0.272
I  0.023  0.406  0.272
I  0.237  0.095  0.891
I  0.237  0.405  0.891
I  0.248  0.750  0.869
I  0.252  0.250  0.369
I  0.263  0.595  0.391
I  0.263  0.905  0.391
I  0.477  0.594  0.772
I  0.477  0.906  0.772
I  0.492  0.750  0.298
I  0.508  0.250  0.702
I  0.523  0.094  0.228
I  0.523  0.406  0.228
I  0.737  0.095  0.609
I  0.737  0.405  0.609
I  0.748  0.750  0.631
I  0.752  0.250  0.131
I  0.763  0.595  0.109
I  0.763  0.905  0.109
I  0.977  0.594  0.728
I  0.977  0.906  0.728
I  0.992  0.750  0.202